Entry 1:
This record from Alexandria describes a relaxed TbTm2O4 crystal. The functional is PBE-GGA.

abc: 5.192 5.192 5.317
angles: 90.00 90.00 90.00
Space group P-42m (No. 111)
Symmetry-distinct sites (fractional):
Tb (0.000, 0.000, 0.000)
Tm (0.000, 0.500, 0.500)
O (0.218, 0.218, 0.291)

Computed properties:
formation energy without anion corrections: -3.00 eV/atom

***

Entry 2:
This record from Alexandria describes a relaxed MgBiPd3 crystal. The functional is PBE-GGA.

abc: 5.048 5.048 5.048
angles: 90.00 90.00 90.00
Space group Pm-3m (No. 221)
Symmetry-distinct sites (fractional):
Mg (0.000, 0.000, 0.000)
Bi (0.500, 0.500, 0.500)
Pd (0.000, 0.500, 0.500)

Computed properties:
energy relative to the elements: 0.39 eV per atom
energy above the lowest structure with this stoichiometry: 734 meV per atom

***

Entry 3:
This record from Alexandria describes a relaxed KSnB2Pb crystal. The functional is PBE-GGA.

abc: 5.039 5.039 5.985
angles: 90.00 90.00 90.00
Space group P4/mmm (No. 123)
Symmetry-distinct sites (fractional):
K (0.000, 0.000, 0.000)
Sn (0.500, 0.500, 0.500)
B (0.000, 0.500, 0.000)
Pb (0.000, 0.000, 0.500)

Computed properties:
energy relative to the elements: 2.32 eV per atom

***

Entry 4:
This record from Alexandria describes a relaxed Ac2Al7Hg crystal. The functional is PBE-GGA.

abc: 4.561 4.561 11.021
angles: 90.00 90.00 90.00
Space group P-4m2 (No. 115)
Symmetry-distinct sites (fractional):
Ac (0.000, 0.500, 0.246)
Al (0.000, 0.000, 0.000)
Al (0.000, 0.500, 0.634)
Al (0.000, 0.500, 0.871)
Al (0.500, 0.500, 0.000)
Al (0.500, 0.500, 0.500)
Hg (0.000, 0.000, 0.500)

Computed properties:
energy relative to the elements: -0.33 eV per atom

***

Entry 5:
This record from Alexandria describes a relaxed Ca2TlCl crystal. The functional is PBE-GGA.

abc: 3.8796 3.8796 33.7547
angles: 90.00 90.00 120.00
Space group R3m (No. 160, hexagonal axes)
Symmetry-distinct sites (fractional):
Ca (0.0000, 0.0000, 0.0000)
Ca (0.0000, 0.0000, 0.2358)
Tl (0.0000, 0.0000, 0.7424)
Cl (0.0000, 0.0000, 0.5226)

Computed properties:
energy above the lowest structure with this stoichiometry: 284 meV per atom
formation energy without anion corrections: -0.77 eV/atom

***

Entry 6:
This record from Alexandria describes a relaxed Pa3BeSn crystal. The functional is PBE-GGA.

abc: 4.938 4.938 4.938
angles: 90.00 90.00 90.00
Space group Pm-3m (No. 221)
Symmetry-distinct sites (fractional):
Pa (0.000, 0.000, 0.500)
Be (0.000, 0.000, 0.000)
Sn (0.500, 0.500, 0.500)

Computed properties:
energy relative to the elements: 0.29 eV per atom

***

Question: Which formula does entry 4 have?
Answer: Ac2Al7Hg